No. 1
# KNbGe3 (PBE-GGA, relaxed)
data_KNbGe3
_chemical_formula_sum 'K1 Nb1 Ge3'
_cell_length_a 5.085
_cell_length_b 5.085
_cell_length_c 5.085
_cell_angle_alpha 90.00
_cell_angle_beta 90.00
_cell_angle_gamma 90.00
_space_group_name_H-M_alt 'P m -3 m'
_space_group_IT_number 221
_space_group_name_Hall '-P 4 2 3'
loop_
_atom_site_label
_atom_site_type_symbol
_atom_site_fract_x
_atom_site_fract_y
_atom_site_fract_z
K1 K 0.000 0.000 0.000
Nb1 Nb 0.500 0.500 0.500
Ge1 Ge 0.000 0.000 0.500
# Energy above the lowest structure with this stoichiometry (eV per formula unit): 10.08
# M_tot (μB/f.u.): 0.000
# Energy of formation from the pure elements (eV per atom): 2.0387

No. 2
# KNbGe3 (PBE-GGA, relaxed)
data_KNbGe3
_chemical_formula_sum 'K1 Nb1 Ge3'
_cell_length_a 5.103
_cell_length_b 5.103
_cell_length_c 5.103
_cell_angle_alpha 90.00
_cell_angle_beta 90.00
_cell_angle_gamma 90.00
_space_group_name_H-M_alt 'P m -3 m'
_space_group_IT_number 221
_space_group_name_Hall '-P 4 2 3'
loop_
_atom_site_label
_atom_site_type_symbol
_atom_site_fract_x
_atom_site_fract_y
_atom_site_fract_z
K1 K 0.000 0.000 0.000
Nb1 Nb 0.500 0.500 0.500
Ge1 Ge 0.000 0.500 0.500
# Energy above the lowest structure with this stoichiometry (eV per formula unit): 0.00
# M_tot (μB/f.u.): 0.000
# Energy of formation from the pure elements (eV per atom): 0.0233

No. 3
# KNbGe2 (PBE-GGA, relaxed)
data_KNbGe2
_chemical_formula_sum 'K4 Nb4 Ge8'
_cell_length_a 6.938
_cell_length_b 6.938
_cell_length_c 6.938
_cell_angle_alpha 90.00
_cell_angle_beta 90.00
_cell_angle_gamma 90.00
_space_group_name_H-M_alt 'F m -3 m'
_space_group_IT_number 225
_space_group_name_Hall '-F 4 2 3'
loop_
_atom_site_label
_atom_site_type_symbol
_atom_site_fract_x
_atom_site_fract_y
_atom_site_fract_z
K1 K 0.000 0.000 0.000
Nb1 Nb 0.000 0.000 0.500
Ge1 Ge 0.250 0.250 0.250
# Energy above the lowest structure with this stoichiometry (eV per formula unit): 1.02
# M_tot (μB/f.u.): 0.000
# Energy of formation from the pure elements (eV per atom): 0.5932

No. 4
# K3NbGe (PBE-GGA, relaxed)
data_K3NbGe
_chemical_formula_sum 'K3 Nb1 Ge1'
_cell_length_a 6.671
_cell_length_b 6.671
_cell_length_c 6.671
_cell_angle_alpha 90.00
_cell_angle_beta 90.00
_cell_angle_gamma 90.00
_space_group_name_H-M_alt 'P m -3 m'
_space_group_IT_number 221
_space_group_name_Hall '-P 4 2 3'
loop_
_atom_site_label
_atom_site_type_symbol
_atom_site_fract_x
_atom_site_fract_y
_atom_site_fract_z
K1 K 0.000 0.000 0.500
Nb1 Nb 0.000 0.000 0.000
Ge1 Ge 0.500 0.500 0.500
# M_tot (μB/f.u.): 7.960
# Energy of formation from the pure elements (eV per atom): 1.4529

No. 5
# KNbNi2Ge (PBE-GGA, relaxed)
data_KNbNi2Ge
_chemical_formula_sum 'K1 Nb1 Ni2 Ge1'
_cell_length_a 4.496
_cell_length_b 4.496
_cell_length_c 5.375
_cell_angle_alpha 90.00
_cell_angle_beta 90.00
_cell_angle_gamma 90.00
_space_group_name_H-M_alt 'P 4/m m m'
_space_group_IT_number 123
_space_group_name_Hall '-P 4 2'
loop_
_atom_site_label
_atom_site_type_symbol
_atom_site_fract_x
_atom_site_fract_y
_atom_site_fract_z
K1 K 0.000 0.000 0.000
Nb1 Nb 0.500 0.500 0.000
Ni1 Ni 0.000 0.500 0.500
Ge1 Ge 0.000 0.000 0.500
# M_tot (μB/f.u.): 3.581
# Energy of formation from the pure elements (eV per atom): 1.2618

No. 6
# KNbGe2O8 (PBE-GGA, relaxed)
data_KNbGe2O8
_chemical_formula_sum 'K2 Nb2 Ge4 O16'
_cell_length_a 9.434
_cell_length_b 5.748
_cell_length_c 7.927
_cell_angle_alpha 90.00
_cell_angle_beta 110.40
_cell_angle_gamma 90.00
_space_group_name_H-M_alt 'C 1 2/m 1'
_space_group_IT_number 12
_space_group_name_Hall '-C 2y'
loop_
_atom_site_label
_atom_site_type_symbol
_atom_site_fract_x
_atom_site_fract_y
_atom_site_fract_z
K1 K 0.000 0.000 0.000
Nb1 Nb 0.000 0.000 0.500
Ge1 Ge 0.085 0.500 0.292
O1 O 0.007 0.245 0.686
O2 O 0.083 0.500 0.057
O3 O 0.222 0.000 0.586
# ΔE_f (raw) (meV per atom): -1749
# M_tot (μB/f.u.): 0.056

In order of appearance, Fermi-level density of states = 8.23; 2.16; 13.21; 3.00; 4.62; 0.00 states/eV per cell.